## BaBeAl2 (PBE-GGA)

Data for a relaxed BaBeAl2 crystal.

abc: 7.5836 7.7129 4.3661
angles: 90.00 123.77 90.00
Space group C2 (No. 5)
Symmetry-distinct sites (fractional):
Ba 0.0000 0.0000 0.0000 (multiplicity 2)
Be 0.0000 0.3543 0.5000 (multiplicity 2)
Al 0.0000 0.4545 0.0000 (multiplicity 2)
Al 0.0000 0.6712 0.5000 (multiplicity 2)

ΔE_f = 299 meV/atom
calculated density = 3.134 g cm⁻³

***

## BaBeAl2 (PBE-GGA)

Data for a relaxed BaBeAl2 crystal.

abc: 5.0064 5.0064 7.0656
angles: 90.00 90.00 90.00
Space group I-4m2 (No. 119)
Symmetry-distinct sites (fractional):
Ba 0.0000 0.0000 0.0000 (multiplicity 2)
Be 0.0000 0.5000 0.7500 (multiplicity 2)
Al 0.0000 0.0000 0.5000 (multiplicity 2)
Al 0.0000 0.5000 0.2500 (multiplicity 2)

ΔE_f = 373 meV/atom
calculated density = 3.756 g cm⁻³

***

## BaBe2Al (PBE-GGA)

Data for a relaxed BaBe2Al crystal.

abc: 4.0305 6.1923 7.6697
angles: 90.00 90.00 90.00
Space group Imm2 (No. 44)
Symmetry-distinct sites (fractional):
Ba 0.0000 0.0000 0.0000 (multiplicity 2)
Be 0.0000 0.0000 0.4511 (multiplicity 2)
Be 0.0000 0.5000 0.8517 (multiplicity 2)
Al 0.0000 0.5000 0.1464 (multiplicity 2)

ΔE_f = 512 meV/atom
calculated density = 3.163 g cm⁻³

***

Which value of calculated density does entry 3 give? 3.163 g cm⁻³

***

Number 3 is which compound? BaBe2Al